A.
This record from Alexandria describes a geometry-optimized KO2 structure. The functional is PBE-GGA.

Output
Crystal system: orthorhombic
Total magnetization in μB per formula unit: 1.002
Fermi-level density of states in states/eV/atom: 0.63
Space-group type: Pmma, No. 51

a = 7.243 Å, b = 3.469 Å, c = 3.873 Å
α = 90.00°, β = 90.00°, γ = 90.00°
Element x y z (fractional)
K1 0.250 0.000 0.158
K2 0.750 0.000 0.842
O1 0.053 0.500 0.644
O2 0.447 0.500 0.644
O3 0.553 0.500 0.356
O4 0.947 0.500 0.356

B.
This record from Alexandria describes a geometry-optimized KO2 structure. The functional is PBE-GGA.

Output
Crystal system: monoclinic
Total magnetization in μB per formula unit: 1.000
Fermi-level density of states in states/eV/atom: 0.59
Space-group type: C2/c, No. 15

a = 3.878 Å, b = 3.878 Å, c = 7.508 Å
α = 105.30°, β = 105.30°, γ = 73.52°
Element x y z (fractional)
K1 0.169 0.831 0.750
K2 0.831 0.169 0.250
O1 0.171 0.462 0.053
O2 0.462 0.171 0.553
O3 0.538 0.829 0.447
O4 0.829 0.538 0.947

What should be chosen as the least stable of them? Choose A.

A.
This record from Alexandria describes a geometry-optimized KO2 structure. The functional is PBE-GGA.

Output
Crystal system: monoclinic
Total magnetization in μB per formula unit: 1.000
Fermi-level density of states in states/eV/atom: 0.78
Space-group type: C2/c, No. 15

a = 4.111 Å, b = 4.111 Å, c = 7.178 Å
α = 101.78°, β = 101.78°, γ = 63.95°
Element x y z (fractional)
K1 0.167 0.833 0.750
K2 0.833 0.167 0.250
O1 0.171 0.436 0.047
O2 0.436 0.171 0.547
O3 0.564 0.829 0.453
O4 0.829 0.564 0.953

B.
This record from Alexandria describes a geometry-optimized KO2 structure. The functional is PBE-GGA.

Output
Crystal system: tetragonal
Total magnetization in μB per formula unit: 3.000
Fermi-level density of states in states/eV/atom: 1.83
Space-group type: P4/mmm, No. 123

a = 3.919 Å, b = 3.919 Å, c = 5.572 Å
α = 90.00°, β = 90.00°, γ = 90.00°
Element x y z (fractional)
K1 0.000 0.000 0.000
O1 0.000 0.000 0.500
O2 0.500 0.500 0.000

C.
This record from Alexandria describes a geometry-optimized KO2 structure. The functional is PBE-GGA.

Output
Crystal system: orthorhombic
Total magnetization in μB per formula unit: 1.001
Fermi-level density of states in states/eV/atom: 0.61
Space-group type: Cmmm, No. 65

a = 3.846 Å, b = 3.846 Å, c = 3.491 Å
α = 90.00°, β = 90.00°, γ = 109.32°
Element x y z (fractional)
K1 0.000 0.000 0.000
O1 0.392 0.608 0.500
O2 0.608 0.392 0.500

D.
This record from Alexandria describes a geometry-optimized KO2 structure. The functional is PBE-GGA.

Output
Crystal system: tetragonal
Total magnetization in μB per formula unit: 1.000
Fermi-level density of states in states/eV/atom: 0.82
Space-group type: I4/mmm, No. 139

a = 4.392 Å, b = 4.392 Å, c = 4.392 Å
α = 126.44°, β = 126.44°, γ = 79.16°
Element x y z (fractional)
K1 0.000 0.000 0.000
O1 0.400 0.400 0.000
O2 0.600 0.600 0.000

What should be chosen as the least stable of them? Choose B.